Entry from OQMD via LeMat-Bulk: a relaxed structure of Sr2NbIrN2O4 (PBE).

Output
ΔE to the lowest computed polymorph	27	meV per atom
VASP energy	-7.51	eV/atom

abc: 5.652 5.658 7.976
angles: 90.03 90.09 90.05
Sites, in units of the cell vectors:
Ir (0.012, 0.987, 0.995)
O (0.244, 0.250, 0.987)
N (0.501, 0.523, 0.738)
Sr (0.499, 0.011, 0.755)
O (0.769, 0.735, 0.014)
N (0.000, 0.978, 0.751)
O (0.204, 0.298, 0.511)
Nb (0.491, 0.510, 0.002)
N (0.256, 0.757, 0.009)
Sr (0.520, 0.004, 0.247)
Nb (0.000, 0.997, 0.513)
O (0.790, 0.711, 0.482)
N (0.495, 0.481, 0.260)
O (0.743, 0.234, 0.989)
O (0.292, 0.798, 0.483)
Sr (0.000, 0.488, 0.248)
O (0.705, 0.209, 0.509)
Ir (0.496, 0.505, 0.499)
Sr (0.987, 0.491, 0.756)
O (0.996, 0.033, 0.251)